No. 1
VGa2BO6, optimized geometry, DFT PBE+U; D(E_F) = 0.00 states/eV per cell; total energy = -6.91 eV/atom; M_tot = 1.981 μB/f.u.; space-group type = No. 15
1.0
4.410 -5.149 0.000
4.410 5.149 0.000
-2.034 0.000 4.715
V Ga B O
2 4 2 12
direct
0.095 0.905 0.750
0.905 0.095 0.250
0.273 0.461 0.856
0.461 0.273 0.356
0.539 0.727 0.644
0.727 0.539 0.144
0.170 0.830 0.250
0.830 0.170 0.750
0.037 0.193 0.684
0.146 0.681 0.973
0.193 0.037 0.184
0.299 0.445 0.497
0.319 0.854 0.527
0.445 0.299 0.997
0.555 0.701 0.003
0.681 0.146 0.473
0.701 0.555 0.503
0.807 0.963 0.816
0.854 0.319 0.027
0.963 0.807 0.316


No. 2
VGaB2O, optimized geometry, DFT PBE+U; D(E_F) = 3.02 states/eV per cell; total energy = -5.01 eV/atom; M_tot = 0.000 μB/f.u.; space-group type = No. 123
1.0
4.231 0.000 0.000
0.000 4.231 0.000
0.000 0.000 3.683
V Ga B O
1 1 2 1
direct
0.000 0.000 0.000
0.500 0.500 0.500
0.000 0.500 0.000
0.500 0.000 0.000
0.000 0.000 0.500


No. 3
VGa2BO, optimized geometry, DFT PBE+U; D(E_F) = 2.73 states/eV per cell; total energy = -4.79 eV/atom; M_tot = 2.184 μB/f.u.; space-group type = No. 123
1.0
5.121 0.000 0.000
0.000 5.121 0.000
0.000 0.000 2.725
V Ga B O
1 2 1 1
direct
0.000 0.000 0.000
0.000 0.500 0.500
0.500 0.000 0.500
0.500 0.500 0.500
0.500 0.500 0.000